Entry 1:
Below is Nd4CoPdBr2 after structural relaxation, with properties calculated at the GGA-PBE level.

a b c (Å): 7.193 4.101 8.123
angles (deg): 90.00 107.03 90.00
Atoms (fractional coordinates):
Nd 0.218 0.000 0.194
Nd 0.248 0.500 0.804
Nd 0.752 0.500 0.196
Nd 0.782 0.000 0.806
Co 0.000 0.500 0.000
Pd 0.500 0.000 0.000
Br 0.000 0.000 0.500
Br 0.500 0.500 0.500

## Properties
Final energy in eV/atom: -5.21
Energy relative to the elements, uncorrected in eV/atom: -0.872
M_tot in Bohr magnetons per cell: 0.000


Entry 2:
Below is Nd4CoPtBr2 after structural relaxation, with properties calculated at the GGA-PBE level.

a b c (Å): 7.193 4.113 8.117
angles (deg): 90.00 107.19 90.00
Atoms (fractional coordinates):
Nd 0.220 0.000 0.193
Nd 0.251 0.500 0.805
Nd 0.749 0.500 0.195
Nd 0.780 0.000 0.807
Co 0.000 0.500 0.000
Pt 0.500 0.000 0.000
Br 0.000 0.000 0.500
Br 0.500 0.500 0.500

## Properties
Final energy in eV/atom: -5.43
Energy relative to the elements, uncorrected in eV/atom: -0.985
M_tot in Bohr magnetons per cell: 0.000